# 1
First-principles (PBE) data for a relaxed VCu3Pt6 crystal, as listed in Alexandria via LeMat-Bulk.

Unit cell a=8.4503 b=3.8994 c=8.7742 alpha=90.00 beta=92.65 gamma=90.00
With the nearest neighbours (Å) after each atom.
Space group P2_1/m (No. 11)
Asymmetric unit:
1 V 0.0616 0.2500 0.3826  10 Pt 2.61-2.80
2 Cu 0.2538 0.2500 0.9991  10 Pt 2.64-2.82, 2 Cu 2.75
3 Cu 0.3486 0.7500 0.8017  8 Pt 2.66-2.76, 4 Cu 2.75-2.77
4 Cu 0.4474 0.2500 0.6029  8 Pt 2.63-2.82, 4 Cu 2.77-2.83
5 Pt 0.0549 0.7500 0.8986  1 V 2.61, 4 Cu 2.66-2.80, 7 Pt 2.76-2.83
6 Pt 0.1426 0.2500 0.6917  3 V 2.66-2.77, 5 Pt 2.70-2.79, 4 Cu 2.72-2.82
7 Pt 0.1537 0.7500 0.2052  2 V 2.63, 8 Pt 2.70-2.78, 2 Cu 2.82
8 Pt 0.2435 0.7500 0.5045  3 V 2.68-2.80, 5 Pt 2.70-2.81, 4 Cu 2.72-2.82
9 Pt 0.3600 0.2500 0.3088  1 V 2.63, 5 Cu 2.63-2.82, 6 Pt 2.74-2.82
10 Pt 0.4563 0.7500 0.1009  7 Cu 2.64-2.74, 5 Pt 2.75-2.82

Summary:
Magnetic moment, μB per formula unit: 0.00
Calculated total energy, eV/atom: -6.0467

***

# 2
First-principles (PBE) data for a relaxed VCu2Pt9 crystal, as listed in Alexandria via LeMat-Bulk.

Unit cell a=3.9055 b=3.9055 c=11.7177 alpha=90.00 beta=90.00 gamma=90.00
With the nearest neighbours (Å) after each atom.
Space group P4/mmm (No. 123)
Asymmetric unit:
1 V 0.0000 0.0000 0.0000  12 Pt 2.73-2.76
2 Cu 0.0000 0.0000 0.3352  12 Pt 2.75-2.81
3 Pt 0.0000 0.5000 0.1633  8 Pt 2.73-2.78, 2 V 2.73, 2 Cu 2.81
4 Pt 0.0000 0.5000 0.5000  4 Cu 2.75, 8 Pt 2.76-2.77
5 Pt 0.5000 0.5000 0.0000  8 Pt 2.73, 4 V 2.76
6 Pt 0.5000 0.5000 0.3320  4 Cu 2.76, 8 Pt 2.77-2.78

Summary:
Magnetic moment, μB per formula unit: 0.00
Calculated total energy, eV/atom: -6.2252

***

# 3
First-principles (PBE) data for a relaxed V2Cu2Pt3 crystal, as listed in Alexandria via LeMat-Bulk.

Unit cell a=4.0059 b=18.1792 c=2.7078 alpha=90.00 beta=90.00 gamma=90.00
With the nearest neighbours (Å) after each atom.
Space group Cmmm (No. 65)
Asymmetric unit:
1 V 0.0000 0.2109 0.0000  4 V 2.46-2.71, 1 Cu 2.56, 4 Pt 2.64
2 Cu 0.0000 0.0703 0.0000  1 V 2.56, 3 Cu 2.56-2.71, 8 Pt 2.73-2.84
3 Pt 0.0000 0.3472 0.5000  6 V 2.64-2.82, 3 Pt 2.71-2.78, 4 Cu 2.84
4 Pt 0.0000 0.5000 0.5000  4 Pt 2.71-2.78, 8 Cu 2.73

Summary:
Magnetic moment, μB per formula unit: 0.00
Calculated total energy, eV/atom: -6.6054

***

# 4
First-principles (PBE) data for a relaxed VCu2Pt2 crystal, as listed in Alexandria via LeMat-Bulk.

Unit cell a=8.4391 b=3.7608 c=5.9243 alpha=90.00 beta=133.03 gamma=90.00
With the nearest neighbours (Å) after each atom.
Space group C2/m (No. 12)
Asymmetric unit:
1 V 0.0000 0.0000 0.0000  6 Pt 2.59-2.77, 6 Cu 2.65-2.73
2 Cu 0.1982 0.0000 0.5903  3 Cu 2.59-2.73, 6 Pt 2.64-2.73, 3 V 2.65-2.73
3 Pt 0.0938 0.5000 0.8056  3 V 2.59-2.77, 6 Cu 2.64-2.73, 3 Pt 2.74-2.79

Summary:
Magnetic moment, μB per formula unit: 0.00
E above lowest polymorph, kJ/mol of atoms: 0.00
Calculated total energy, eV/atom: -6.1741

***

# 5
First-principles (PBE) data for a relaxed VCu2Pt2 crystal, as listed in Alexandria via LeMat-Bulk.

Unit cell a=7.1070 b=7.1070 c=2.8439 alpha=90.00 beta=90.00 gamma=90.00
With the nearest neighbours (Å) after each atom.
Space group P4/mbm (No. 127)
Asymmetric unit:
1 V 0.0000 0.0000 0.0000  4 Cu 2.83, 2 V 2.84, 8 Pt 2.97
2 Cu 0.1197 0.3803 0.0000  1 Cu 2.41, 6 Pt 2.47-2.59
3 Pt 0.1788 0.6788 0.5000  6 Cu 2.47-2.59

Summary:
Magnetic moment, μB per formula unit: 1.78
E above lowest polymorph, kJ/mol of atoms: 25.42
Calculated total energy, eV/atom: -5.9106

***

# 6
First-principles (PBE) data for a relaxed VCuPt3 crystal, as listed in Alexandria via LeMat-Bulk.

Unit cell a=4.6131 b=4.6131 c=4.6131 alpha=90.00 beta=90.00 gamma=90.00
With the nearest neighbours (Å) after each atom.
Space group Pm-3m (No. 221)
Asymmetric unit:
1 V 0.0000 0.0000 0.0000  6 Pt 2.31
2 Cu 0.5000 0.5000 0.5000  12 Pt 3.26
3 Pt 0.0000 0.0000 0.5000  2 V 2.31

Summary:
Magnetic moment, μB per formula unit: 0.00
E above lowest polymorph, kJ/mol of atoms: 96.63
Calculated total energy, eV/atom: -5.3954

***

# 7
First-principles (PBE) data for a relaxed VCuPt6 crystal, as listed in Alexandria via LeMat-Bulk.

Unit cell a=3.9205 b=3.9205 c=7.7575 alpha=90.00 beta=90.00 gamma=90.00
With the nearest neighbours (Å) after each atom.
Space group P4/mmm (No. 123)
Asymmetric unit:
1 V 0.0000 0.0000 0.0000  12 Pt 2.73-2.77
2 Cu 0.0000 0.0000 0.5000  12 Pt 2.77-2.78
3 Pt 0.0000 0.5000 0.2454  8 Pt 2.73-2.78, 2 V 2.73, 2 Cu 2.78
4 Pt 0.5000 0.5000 0.0000  8 Pt 2.73, 4 V 2.77
5 Pt 0.5000 0.5000 0.5000  4 Cu 2.77, 8 Pt 2.78

Summary:
Magnetic moment, μB per formula unit: 0.00
Calculated total energy, eV/atom: -6.5239

***

# 8
First-principles (PBE) data for a relaxed VCu5Pt6 crystal, as listed in Alexandria via LeMat-Bulk.

Unit cell a=3.8958 b=7.3018 c=11.7868 alpha=90.00 beta=90.00 gamma=90.00
With the nearest neighbours (Å) after each atom.
Space group Immm (No. 71)
Asymmetric unit:
1 V 0.0000 0.0000 0.0000  8 Pt 2.62-2.65, 4 Cu 2.78
2 Cu 0.0000 0.0000 0.3362  8 Pt 2.69-2.70, 4 Cu 2.74-2.78
3 Cu 0.0000 0.5000 0.0000  8 Pt 2.70-2.72, 4 Cu 2.74
4 Cu 0.0000 0.5000 0.3319  8 Pt 2.65-2.70, 2 V 2.78, 2 Cu 2.78
5 Pt 0.0000 0.2456 0.1660  7 Cu 2.65-2.70, 1 V 2.65, 4 Pt 2.76-2.78
6 Pt 0.0000 0.2591 0.5000  2 V 2.62, 6 Cu 2.65-2.72, 4 Pt 2.76

Summary:
Magnetic moment, μB per formula unit: 0.00
Calculated total energy, eV/atom: -5.7643